{"formula": "SrSn3Pd2", "functional": "GGA-PBE", "state": "optimized geometry", "spacegroup": "No. 12", "e_above_lowest_polymorph_mev_per_atom": 0, "energy_ev_per_atom": -4.606, "magmom_total_mub_per_cell": 0.00, "density_g_cm3": 7.54, "formation_energy_ev_per_atom": -0.593, "lattice": [[4.5408, 0.0000, 0.0000], [-2.2704, 8.4829, -2.9802], [0.0000, -0.0865, 11.2919]], "species": ["Sr", "Sr", "Sr", "Sn", "Sn", "Sn", "Sn", "Sn", "Sn", "Sn", "Sn", "Sn", "Pd", "Pd", "Pd", "Pd", "Pd", "Pd"], "fractional_positions": [[0.1587, 0.3174, 0.7003], [0.8413, 0.6826, 0.2997], [0.0000, 0.0000, 0.0000], [0.0384, 0.0767, 0.3451], [0.9616, 0.9233, 0.6549], [0.2160, 0.4320, 0.3817], [0.7840, 0.5680, 0.6183], [0.6244, 0.2487, 0.1880], [0.3756, 0.7513, 0.8120], [0.5000, 0.0000, 0.5000], [0.3248, 0.6496, 0.0433], [0.6752, 0.3504, 0.9567], [0.1965, 0.3930, 0.1239], [0.8035, 0.6070, 0.8761], [0.4752, 0.9504, 0.2173], [0.5248, 0.0496, 0.7827], [0.3620, 0.7241, 0.5561], [0.6380, 0.2759, 0.4439]]}

=====

{"formula": "ScMn2SiB", "functional": "GGA-PBE", "state": "optimized geometry", "raw_formation_energy_ev_per_atom": -0.0787, "spacegroup": "No. 123", "energy_ev_per_atom": -7.433, "magmom_total_mub_per_cell": 4.21, "density_g_cm3": 4.66, "lattice": [[3.9367, 0.0000, 0.0000], [0.0000, 4.4515, 0.0000], [0.0000, 0.0000, 3.9367]], "species": ["Sc", "Si", "Mn", "Mn", "B"], "fractional_positions": [[0.0000, 0.5000, 0.0000], [0.5000, 0.5000, 0.5000], [0.0000, 0.0000, 0.5000], [0.5000, 0.0000, 0.0000], [0.0000, 0.0000, 0.0000]]}

=====

{"formula": "SiSeS2N", "functional": "GGA-PBE", "state": "optimized geometry", "raw_formation_energy_ev_per_atom": 1.1783, "spacegroup": "No. 123", "e_above_lowest_polymorph_mev_per_atom": 702, "energy_ev_per_atom": -3.919, "magmom_total_mub_per_cell": 0.91, "density_g_cm3": 3.44, "lattice": [[-1.7902, -3.9745, -2.2552], [3.5045, -2.7485, 2.0618], [-2.2173, -0.6489, 2.9038]], "species": ["S", "S", "Si", "Se", "N"], "fractional_positions": [[0.0000, 0.5000, 0.0000], [0.5000, 0.0000, 0.0000], [0.5000, 0.5000, 0.5000], [0.0000, 0.0000, 0.0000], [0.0000, 0.0000, 0.5000]]}

=====

{"formula": "NdGaPb", "functional": "GGA-PBE", "state": "optimized geometry", "spacegroup": "No. 156", "e_above_lowest_polymorph_mev_per_atom": 0, "energy_ev_per_atom": -4.313, "magmom_total_mub_per_cell": 0.00, "density_g_cm3": 8.53, "formation_energy_ev_per_atom": -0.479, "lattice": [[4.5602, 0.0000, 0.0000], [0.0000, 4.5573, 0.0000], [0.0000, -2.2786, 3.9467]], "species": ["Pb", "Nd", "Ga"], "fractional_positions": [[0.2679, 0.3333, 0.6667], [0.7023, 0.6667, 0.3333], [0.0298, 0.0000, 0.0000]]}

=====

{"formula": "Na3U2ZnN6", "functional": "GGA-PBE", "state": "optimized geometry", "raw_formation_energy_ev_per_atom": -0.6578, "spacegroup": "No. 12", "energy_ev_per_atom": -7.138, "magmom_total_mub_per_cell": 0.00, "density_g_cm3": 6.76, "lattice": [[6.0734, -0.3029, 0.0937], [-3.2976, 5.1092, 0.0937], [-0.8372, -1.4495, 5.6257]], "species": ["Na", "Na", "Na", "U", "U", "Zn", "N", "N", "N", "N", "N", "N"], "fractional_positions": [[0.1574, 0.8426, 0.5000], [0.8426, 0.1574, 0.5000], [0.5000, 0.5000, 0.5000], [0.3391, 0.6609, 0.0000], [0.6609, 0.3391, 0.0000], [0.0000, 0.0000, 0.0000], [0.9165, 0.5540, 0.7972], [0.7232, 0.7232, 0.1822], [0.0835, 0.4460, 0.2028], [0.5540, 0.9165, 0.7972], [0.2768, 0.2768, 0.8178], [0.4460, 0.0835, 0.2028]]}

=====

{"formula": "Np4TcP5", "functional": "GGA-PBE", "state": "optimized geometry", "spacegroup": "No. 166", "energy_ev_per_atom": -9.681, "magmom_total_mub_per_cell": 0.90, "density_g_cm3": 10.03, "formation_energy_ev_per_atom": -0.763, "lattice": [[-0.4350, 3.0116, -2.4715], [-3.5577, 1.5215, -0.6288], [0.7641, 11.0713, 10.2475]], "species": ["Np", "Np", "Np", "Np", "Tc", "P", "P", "P", "P", "P"], "fractional_positions": [[0.8896, 0.8896, 0.3311], [0.2968, 0.2968, 0.1096], [0.7032, 0.7032, 0.8904], [0.1104, 0.1104, 0.6689], [0.5000, 0.5000, 0.5000], [0.4063, 0.4063, 0.7811], [0.0000, 0.0000, 0.0000], [0.5937, 0.5937, 0.2189], [0.8108, 0.8108, 0.5676], [0.1892, 0.1892, 0.4324]]}